[1]
This record from Alexandria via LeMat-Bulk describes KAgTe2 after structural relaxation. The functional is PBE.

Summary:
Crystal system = tetragonal
Total magnetization = 0.00 μB per cell
Volume = 30.98 Å³/atom
Space group = P4mm (99)
Formation energy (no corrections) = 9 meV/atom
E = -2.5493 eV/atom

```
KAgTe2
1.0
3.2520 0.0000 0.0000
0.0000 3.2520 0.0000
0.0000 0.0000 11.7165
Ag K Te
1 1 2
Direct
0.0000 0.0000 0.4913
0.5000 0.5000 0.7361
0.0000 0.0000 0.9640
0.5000 0.5000 0.3086
```


[2]
This record from Alexandria via LeMat-Bulk describes PmNd2Y after structural relaxation. The functional is PBE.

Summary:
Formation enthalpy at 0 K = 0.05 eV/atom
Crystal system = orthorhombic
Total magnetization = 0.00 μB per cell
Volume = 34.39 Å³/atom
Space group = Amm2 (38)
E = -5.1412 eV/atom

```
PmNd2Y
1.0
3.5958 0.0000 0.0000
0.0000 5.6864 0.0000
-1.7979 0.0000 6.7279
Pm Nd Y
1 2 1
Direct
0.8053 0.5000 0.6107
0.0616 0.5000 0.1233
0.1867 0.0000 0.3734
0.4463 0.0000 0.8927
```


[3]
This record from Alexandria via LeMat-Bulk describes Cs2KU2Si4O14 after structural relaxation. The functional is PBE.

Summary:
Crystal system = orthorhombic
Total magnetization = 3.00 μB per cell
Volume = 16.87 Å³/atom
Space group = Cmmm (65)
Formation energy (no corrections) = -2817 meV/atom
E = -7.8812 eV/atom

```
Cs2KU2Si4O14
1.0
7.2907 -0.0064 0.0000
-2.2884 6.9223 0.0000
0.0000 0.0000 7.6904
Cs K U Si O
2 1 2 4 14
Direct
0.7852 0.2148 0.0000
0.2148 0.7852 0.0000
0.0000 0.0000 0.5000
0.5000 0.0000 0.5000
0.0000 0.5000 0.5000
0.6913 0.6913 0.2050
0.3087 0.3087 0.2050
0.6913 0.6913 0.7950
0.3087 0.3087 0.7950
0.7527 0.2473 0.5000
0.5000 0.5000 0.8004
0.5000 0.5000 0.1996
0.2473 0.7527 0.5000
0.6439 0.8732 0.7052
0.3561 0.1268 0.7052
0.8732 0.6439 0.2948
0.1268 0.3561 0.2948
0.3561 0.1268 0.2948
0.6439 0.8732 0.2948
0.1268 0.3561 0.7052
0.8732 0.6439 0.7052
0.2469 0.2469 0.0000
0.7531 0.7531 0.0000
```